Entry from Alexandria: a relaxed La2NiIrO6 crystal (PBE+U).

As for the crystal system: monoclinic. As for the energy: -145.8 eV for the cell shown.

The structure belongs to space group P2_1/c (No. 14); the cell edges are 5.551, 5.787 and 9.674 Å and the angles 90.00°, 125.00° and 90.00°. The asymmetric unit holds La at (0.235, 0.057, 0.249), Ni at (0.000, 0.000, 0.500), Ir at (0.500, 0.000, 0.000), O at (0.156, 0.201, 0.952), O at (0.257, 0.706, 0.952) and O at (0.343, 0.025, 0.752).